1.
Below is an optimized crystal structure of K2CaRe, with properties calculated at the GGA-PBE level.

Results
Volume   126.6 Å³ per cell
M_tot   0.557 μB per atom
Symmetry   Pmmm (47)
Energy above the lowest structure with this stoichiometry   0.319 eV/atom

Cell lengths 3.6119, 5.4776, 6.3984 Å; angles 90.00, 90.00, 90.00 degrees
Closest atoms and distances in Å follow each position.
Sites, in units of the cell vectors:
Ca 0.0000 0.5000 0.5000  4 Re 3.28, 2 Ca 3.61, 4 K 3.67
K 0.0000 0.0000 0.0000  6 K 3.28-3.61, 4 Re 3.67
K 0.5000 0.5000 0.0000  6 K 3.28-3.61, 4 Ca 3.67
Re 0.5000 0.0000 0.5000  4 Ca 3.28, 2 Re 3.61, 4 K 3.67

=====

2.
Below is an optimized crystal structure of KCa3Re, with properties calculated at the GGA-PBE level.

Results
Volume   146.8 Å³ per cell
M_tot   0.000 μB per atom
Symmetry   Pm-3m (221)
Energy above the lowest structure with this stoichiometry   1.393 eV/atom

Cell lengths 5.2754, 5.2754, 5.2754 Å; angles 90.00, 90.00, 90.00 degrees
Closest atoms and distances in Å follow each position.
Sites, in units of the cell vectors:
Re 0.5000 0.5000 0.5000  12 Ca 3.73
Ca 0.0000 0.5000 0.0000  2 K 2.64
Ca 0.0000 0.0000 0.5000  2 K 2.64
Ca 0.5000 0.0000 0.0000  2 K 2.64
K 0.0000 0.0000 0.0000  6 Ca 2.64

=====

3.
Below is an optimized crystal structure of K2CaRe, with properties calculated at the GGA-PBE level.

Results
Volume   118.8 Å³ per cell
M_tot   0.109 μB per atom
Symmetry   Cmmm (65)
Energy above the lowest structure with this stoichiometry   0.371 eV/atom

Cell lengths 7.1020, 7.1020, 2.9954 Å; angles 90.00, 90.00, 128.14 degrees
Closest atoms and distances in Å follow each position.
Sites, in units of the cell vectors:
Ca 0.0000 0.5000 0.5000  2 Ca 3.00, 2 Re 3.11
K 0.0000 0.0000 0.0000  4 K 3.00-3.11
K 0.5000 0.5000 0.0000  4 K 3.00-3.11
Re 0.5000 0.0000 0.5000  2 Re 3.00, 2 Ca 3.11

=====

4.
Below is an optimized crystal structure of KCaRe2, with properties calculated at the GGA-PBE level.

Results
Volume   79.3 Å³ per cell
M_tot   0.000 μB per atom
Symmetry   F-43m (216)
Energy above the lowest structure with this stoichiometry   0.790 eV/atom

Cell lengths 4.8226, 4.8226, 4.8226 Å; angles 60.00, 60.00, 60.00 degrees
Closest atoms and distances in Å follow each position.
Sites, in units of the cell vectors:
Ca 0.5000 0.5000 0.5000  4 Re 2.95, 4 K 2.95
K 0.7500 0.7500 0.7500  4 Re 2.95, 4 Ca 2.95
Re 0.0000 0.0000 0.0000  4 Re 2.95, 4 K 2.95
Re 0.2500 0.2500 0.2500  4 Re 2.95, 4 Ca 2.95

=====

Question: Which value of energy above the lowest structure with this stoichiometry does entry 1 give?
Answer: 0.319 eV/atom